1.
VASP calculation (PBE) on a relaxed TlZnP2 crystal.

```
4
Lattice="-9.121 1.870 -2.235 -9.444 -1.051 -1.176 -9.444 1.345 0.828" Properties=species:S:1:pos:R:3 pbc="T T T"
P -0.509 0.039 -0.047
P -13.495 1.043 -1.244
Tl -7.002 0.541 -0.646
Zn -21.006 1.623 -1.937
```

Calculated values
* crystal system: trigonal
* calculated total energy: -3.20 eV per atom
* energy relative to the elements: 0.42 eV per atom

2.
VASP calculation (PBE) on a relaxed MoPRu crystal.

```
9
Lattice="-2.116 1.505 -5.481 0.929 -5.829 1.397 -3.648 -0.261 1.337" Properties=species:S:1:pos:R:3 pbc="T T T"
Mo -2.683 0.481 -1.558
Mo -1.447 -2.498 1.236
Mo -2.529 -2.698 -1.758
P -0.086 -3.384 -0.896
P -1.101 -0.940 -3.189
P -1.824 -0.131 0.668
Ru -1.564 1.112 -4.051
Ru 0.687 -4.307 1.032
Ru -0.310 -1.129 -1.066
```

Calculated values
* crystal system: hexagonal
* calculated total energy: -9.00 eV per atom
* energy relative to the elements: -0.49 eV per atom

3.
VASP calculation (PBE) on a relaxed CoReCl2 crystal.

```
4
Lattice="5.902 0.004 0.000 3.799 4.517 0.000 -4.850 -2.260 2.489" Properties=species:S:1:pos:R:3 pbc="T T T"
Re 2.951 0.002 1.245
Co 4.850 2.260 0.000
Cl 0.000 0.000 0.000
Cl 1.899 2.258 1.245
```

Calculated values
* crystal system: tetragonal
* calculated total energy: -4.63 eV per atom
* uncorrected formation energy: 114 kJ per mole of atoms

4.
VASP calculation (PBE) on a relaxed EuAu3 crystal.

```
4
Lattice="-4.219 1.306 -2.310 -2.650 -1.871 3.784 3.523 3.422 0.877" Properties=species:S:1:pos:R:3 pbc="T T T"
Eu 0.000 0.000 0.000
Au -2.065 2.223 -0.348
Au -1.281 0.635 2.699
Au -3.435 -0.282 0.737
```

Calculated values
* crystal system: cubic
* calculated total energy: -5.55 eV per atom
* energy relative to the elements: -0.52 eV per atom